Density functional theory data (PBE-GGA) for crystalline InCuSn at its relaxed geometry.

Computed properties:
Total magnetic moment = 0.00 μB/f.u.
DFT total energy = -3.515 eV per atom
Fermi-level density of states = 1.2 states/eV/cell
Volume = 21.98 A^3/atom
SG = P3m1 (156)
ΔE_f = 28 kJ/mol of formula units

```
data_InCuSn
_cell_length_a 3.4957
_cell_length_b 3.4957
_cell_length_c 6.2310
_cell_angle_alpha 90.00
_cell_angle_beta 90.00
_cell_angle_gamma 120.00
_space_group_name_H-M_alt 'P 1'
_space_group_IT_number 1
loop_
_space_group_symop_operation_xyz
'x,y,z'
loop_
_atom_site_label
_atom_site_fract_x
_atom_site_fract_y
_atom_site_fract_z
Sn1 0.0000 0.0000 0.0392
Cu1 0.6667 0.3333 0.3307
In1 0.3333 0.6667 0.6301
```